## Ce2Nd2Ge4Au (PBE)

Data for a relaxed Ce2Nd2Ge4Au crystal.

Calculated values
**E**: -5.1567 eV/atom
**Density of states at the Fermi level**: 1.244 states/eV/atom
**Formation energy**: -0.3622 eV per atom

a = 6.707 Å, b = 6.707 Å, c = 6.707 Å
α = 113.96°, β = 113.96°, γ = 100.83°
Fractional positions:
Ce 0.153 0.153 0.000
Ce 0.847 0.847 0.000
Nd 0.250 0.750 0.500
Nd 0.750 0.250 0.500
Ge 0.255 0.255 0.509
Ge 0.255 0.745 0.000
Ge 0.745 0.255 0.000
Ge 0.745 0.745 0.491
Au 0.500 0.500 0.000